## a
RbHfCr3 after structural relaxation, computed with GGA-PBE.

**Magnetic moment**: 10.9 μB per formula unit
**Symmetry**: No. 221

abc: 5.157 5.157 5.157
angles: 90.00 90.00 90.00
Element x y z (fractional)
Rb  0.000  0.000  0.000
Hf  0.500  0.500  0.500
Cr  0.000  0.500  0.500
Cr  0.500  0.000  0.500
Cr  0.500  0.500  0.000

=====

## b
RbHfCr3 after structural relaxation, computed with GGA-PBE.

**Magnetic moment**: 10.0 μB per formula unit
**Symmetry**: No. 221

abc: 4.812 4.812 4.812
angles: 90.00 90.00 90.00
Element x y z (fractional)
Rb  0.000  0.000  0.000
Hf  0.500  0.500  0.500
Cr  0.000  0.000  0.500
Cr  0.000  0.500  0.000
Cr  0.500  0.000  0.000

=====

The structure with the most favorable energy is a; the runner-up is 868 meV/atom above it.

=====

## a
Rb2HfCr after structural relaxation, computed with GGA-PBE.

**Magnetic moment**: 2.5 μB per formula unit
**Symmetry**: No. 122

abc: 9.879 9.879 9.879
angles: 93.36 93.36 151.97
Element x y z (fractional)
Rb  0.375  0.214  0.339
Rb  0.786  0.125  0.161
Rb  0.875  0.036  0.661
Rb  0.964  0.625  0.839
Hf  0.250  0.750  0.500
Hf  0.500  0.500  0.000
Cr  0.000  0.000  0.000
Cr  0.750  0.250  0.500

=====

## b
Rb2HfCr after structural relaxation, computed with GGA-PBE.

**Magnetic moment**: 6.0 μB per formula unit
**Symmetry**: No. 225

abc: 6.142 6.142 6.142
angles: 60.00 60.00 60.00
Element x y z (fractional)
Rb  0.250  0.250  0.250
Rb  0.750  0.750  0.750
Hf  0.000  0.000  0.000
Cr  0.500  0.500  0.500

=====

The structure with the most favorable energy is a; the runner-up is 388 meV/atom above it.

=====

## a
Hf3CrRe after structural relaxation, computed with GGA-PBE.

**Magnetic moment**: 0.2 μB per formula unit
**Symmetry**: No. 221

abc: 4.979 4.979 4.979
angles: 90.00 90.00 90.00
Element x y z (fractional)
Hf  0.000  0.000  0.500
Hf  0.000  0.500  0.000
Hf  0.500  0.000  0.000
Cr  0.500  0.500  0.500
Re  0.000  0.000  0.000

=====

## b
Hf3CrRe after structural relaxation, computed with GGA-PBE.

**Magnetic moment**: 0.0 μB per formula unit
**Symmetry**: No. 221

abc: 4.671 4.671 4.671
angles: 90.00 90.00 90.00
Element x y z (fractional)
Hf  0.000  0.000  0.500
Hf  0.000  0.500  0.000
Hf  0.500  0.000  0.000
Cr  0.000  0.000  0.000
Re  0.500  0.500  0.500

=====

The structure with the most favorable energy is b; the runner-up is 237 meV/atom above it.